## Sc3NbSn (PBE-GGA)

Data for crystalline Sc3NbSn at its relaxed geometry.

## Properties
For the energy above the lowest structure with this stoichiometry, the calculation gives 0.000 eV per atom. For the calculated total energy, the calculation gives -30.740 eV/cell.

Cell: 5.074 5.074 5.074 Å, 90.00 90.00 90.00°
Atoms (fractional coordinates):
Sc1 0.000 0.000 0.500
Sc2 0.000 0.500 0.000
Sc3 0.500 0.000 0.000
Nb1 0.000 0.000 0.000
Sn1 0.500 0.500 0.500